Entry 1:
# CsTl9Pd2 | the Open Quantum Materials Database | PBE-GGA | optimized geometry
# V: 30.63 A^3/atom
# Total DFT energy (no corrections): -33.88 eV per cell
data_CsTl9Pd2
_chemical_formula_sum 'Cs1 Tl9 Pd2'
_cell_length_a 9.5969
_cell_length_b 9.5969
_cell_length_c 4.6089
_cell_angle_alpha 90.00
_cell_angle_beta 90.00
_cell_angle_gamma 120.00
_symmetry_space_group_name_H-M 'P 1'
_symmetry_Int_Tables_number 1
_symmetry_space_group_name_Hall 'P 1'
loop_
_atom_site_label
_atom_site_fract_x
_atom_site_fract_y
_atom_site_fract_z
Cs1 0.0000 0.0000 0.0000
Tl1 0.0000 0.5000 0.0000
Tl2 0.2098 0.4197 0.5000
Tl3 0.2098 0.7902 0.5000
Tl4 0.4197 0.2098 0.5000
Tl5 0.5000 0.0000 0.0000
Tl6 0.5000 0.5000 0.0000
Tl7 0.5803 0.7902 0.5000
Tl8 0.7902 0.2098 0.5000
Tl9 0.7902 0.5803 0.5000
Pd1 0.3333 0.6667 0.0000
Pd2 0.6667 0.3333 0.0000

Entry 2:
# CsTmPd | the Open Quantum Materials Database | PBE-GGA | optimized geometry
# V: 30.71 A^3/atom
# Total DFT energy (no corrections): -8.63 eV per cell
data_CsTmPd
_chemical_formula_sum 'Cs1 Tm1 Pd1'
_cell_length_a 5.0699
_cell_length_b 5.0699
_cell_length_c 5.0699
_cell_angle_alpha 60.00
_cell_angle_beta 60.00
_cell_angle_gamma 60.00
_symmetry_space_group_name_H-M 'P 1'
_symmetry_Int_Tables_number 1
_symmetry_space_group_name_Hall 'P 1'
loop_
_atom_site_label
_atom_site_fract_x
_atom_site_fract_y
_atom_site_fract_z
Cs1 0.0000 0.0000 0.0000
Tm1 0.2500 0.2500 0.2500
Pd1 0.5000 0.5000 0.5000

Entry 3:
# CsPdW | the Open Quantum Materials Database | PBE-GGA | optimized geometry
# V: 32.51 A^3/atom
# Total DFT energy (no corrections): -10.84 eV per cell
data_CsPdW
_chemical_formula_sum 'Cs1 Pd1 W1'
_cell_length_a 5.1669
_cell_length_b 5.1669
_cell_length_c 5.1669
_cell_angle_alpha 60.00
_cell_angle_beta 60.00
_cell_angle_gamma 60.00
_symmetry_space_group_name_H-M 'P 1'
_symmetry_Int_Tables_number 1
_symmetry_space_group_name_Hall 'P 1'
loop_
_atom_site_label
_atom_site_fract_x
_atom_site_fract_y
_atom_site_fract_z
Cs1 0.0000 0.0000 0.0000
Pd1 0.7500 0.7500 0.7500
W1 0.2500 0.2500 0.2500

Q: What is the total DFT energy (no corrections) in the second record?
A: -8.63 eV per cell

Q: The lowest V belongs to which entry?
A: CsTl9Pd2